Record 1
A geometry-optimized LaPbF2 structure. Source: Alexandria via LeMat-Bulk, functional PBE-GGA.

Unit cell a=4.820 b=4.820 c=4.820 alpha=60.00 beta=60.00 gamma=60.00
Atoms (fractional coordinates):
Pb (0.500, 0.500, 0.500)
F (0.250, 0.250, 0.250)
F (0.750, 0.750, 0.750)
La (0.000, 0.000, 0.000)

Calculated values
Raw total energy, eV/atom: -4.9148
Distance to the lowest polymorph of the same formula, eV/f.u.: 2.708
D(E_F), states/eV/cell: 5.33
Raw formation energy, eV per atom: -1.820

=====

Record 2
A geometry-optimized La3PbF structure. Source: Alexandria via LeMat-Bulk, functional PBE-GGA.

Unit cell a=5.159 b=5.159 c=5.159 alpha=90.00 beta=90.00 gamma=90.00
Atoms (fractional coordinates):
Pb (0.500, 0.500, 0.500)
F (0.000, 0.000, 0.000)
La (0.000, 0.500, 0.000)
La (0.000, 0.000, 0.500)
La (0.500, 0.000, 0.000)

Calculated values
Raw total energy, eV/atom: -5.3003
Distance to the lowest polymorph of the same formula, eV/f.u.: 0.000
D(E_F), states/eV/cell: 8.62
Raw formation energy, eV per atom: -1.228

=====

Record 3
A geometry-optimized LaPb3F structure. Source: Alexandria via LeMat-Bulk, functional PBE-GGA.

Unit cell a=5.153 b=5.153 c=5.153 alpha=90.00 beta=90.00 gamma=90.00
Atoms (fractional coordinates):
Pb (0.000, 0.500, 0.000)
Pb (0.000, 0.000, 0.500)
Pb (0.500, 0.000, 0.000)
F (0.000, 0.000, 0.000)
La (0.500, 0.500, 0.500)

Calculated values
Raw total energy, eV/atom: -4.4086
Distance to the lowest polymorph of the same formula, eV/f.u.: 0.000
D(E_F), states/eV/cell: 3.93
Raw formation energy, eV per atom: -0.824

=====

Record 4
A geometry-optimized LaPb2F6 structure. Source: Alexandria via LeMat-Bulk, functional PBE-GGA.

Unit cell a=3.871 b=7.448 c=7.352 alpha=63.65 beta=74.73 gamma=74.93
Atoms (fractional coordinates):
La (0.000, 0.500, 0.500)
Pb (0.166, 0.795, 0.872)
Pb (0.834, 0.205, 0.128)
F (0.820, 0.523, 0.838)
F (0.180, 0.477, 0.162)
F (0.986, 0.831, 0.197)
F (0.393, 0.682, 0.531)
F (0.014, 0.169, 0.803)
F (0.607, 0.318, 0.469)

Calculated values
Raw total energy, eV/atom: -5.5169
D(E_F), states/eV/cell: 3.09
Raw formation energy, eV per atom: -2.898

=====

Record 5
A geometry-optimized LaPbF2 structure. Source: Alexandria via LeMat-Bulk, functional PBE-GGA.

Unit cell a=7.388 b=7.388 c=7.388 alpha=32.57 beta=32.57 gamma=32.57
Atoms (fractional coordinates):
Pb (0.000, 0.000, 0.000)
F (0.850, 0.850, 0.850)
F (0.150, 0.150, 0.150)
La (0.500, 0.500, 0.500)

Calculated values
Raw total energy, eV/atom: -5.5919
Distance to the lowest polymorph of the same formula, eV/f.u.: 0.000
D(E_F), states/eV/cell: 2.86
Raw formation energy, eV per atom: -2.497

=====

Record 6
A geometry-optimized LaPbF4 structure. Source: Alexandria via LeMat-Bulk, functional PBE-GGA.

Unit cell a=7.055 b=7.055 c=7.055 alpha=112.64 beta=112.64 gamma=103.31
Each line ends with the local moment (μB).
Atoms (fractional coordinates):
La (0.750, 0.750, 0.000)  0.02
La (0.500, 0.000, 0.500)  0.02
Pb (0.252, 0.252, 0.000)  0.31
Pb (0.002, 0.502, 0.500)  0.31
F (0.297, 0.984, 0.687)  0.02
F (0.702, 0.403, 0.701)  0.02
F (0.734, 0.547, 0.187)  0.02
F (0.153, 0.952, 0.201)  0.02
F (0.360, 0.547, 0.813)  0.02
F (0.751, 0.952, 0.799)  0.02
F (0.702, 0.001, 0.299)  0.02
F (0.297, 0.610, 0.313)  0.02

Calculated values
Raw total energy, eV/atom: -5.7571
Raw formation energy, eV per atom: -3.070

=====

Record 7
A geometry-optimized La2PbF2 structure. Source: Alexandria via LeMat-Bulk, functional PBE-GGA.

Unit cell a=4.082 b=4.082 c=7.504 alpha=74.22 beta=74.22 gamma=90.00
Atoms (fractional coordinates):
Pb (0.000, 0.000, 0.000)
F (0.750, 0.250, 0.500)
F (0.250, 0.750, 0.500)
La (0.364, 0.364, 0.272)
La (0.636, 0.636, 0.728)

Calculated values
Raw total energy, eV/atom: -5.9160
Distance to the lowest polymorph of the same formula, eV/f.u.: 0.000
D(E_F), states/eV/cell: 2.59
Raw formation energy, eV per atom: -2.455

=====

Record 8
A geometry-optimized La2PbF8 structure. Source: Alexandria via LeMat-Bulk, functional PBE-GGA.

Unit cell a=3.964 b=6.584 c=7.049 alpha=117.84 beta=106.33 gamma=90.00
Atoms (fractional coordinates):
Pb (0.500, 0.000, 0.000)
F (0.661, 0.881, 0.321)
F (0.339, 0.560, 0.679)
F (0.161, 0.161, 0.322)
F (0.000, 0.310, 0.000)
F (0.839, 0.839, 0.678)
F (0.661, 0.440, 0.321)
F (0.339, 0.119, 0.679)
F (0.000, 0.690, 0.000)
La (0.180, 0.680, 0.360)
La (0.820, 0.320, 0.640)

Calculated values
Raw total energy, eV/atom: -6.1911
D(E_F), states/eV/cell: 0.00
Raw formation energy, eV per atom: -3.597